Entry 1:
SrThAl2 | PBE | optimized geometry

ΔE_f in kJ per mole of atoms: -14.6
Uncorrected energy in eV for the cell shown: -17.19

Cell: 3.5571 3.5571 8.7320 Å, 90.00 90.00 90.00°
Closest atoms and distances in Å follow each position.
Space group P4/mmm (No. 123)
Inequivalent atoms, fractional coordinates:
Sr1 0.0000 0.0000 0.0000 x1  8 Al 3.41, 4 Sr 3.56
Th1 0.0000 0.0000 0.5000 x1  8 Al 3.26, 4 Th 3.56
Al1 0.5000 0.5000 0.2631 x2  4 Th 3.26, 4 Sr 3.41, 4 Al 3.56

---

Entry 2:
Al2ZnInCl | PBE | optimized geometry

E_form (uncorrected) in eV/atom: 0.474
Uncorrected energy in eV for the cell shown: -10.97

Cell: 5.4672 5.4672 5.4269 Å, 90.00 90.00 90.00°
Closest atoms and distances in Å follow each position.
Space group P4/mmm (No. 123)
Inequivalent atoms, fractional coordinates:
Al1 0.0000 0.5000 0.0000 x2  2 In 2.73
Zn1 0.0000 0.0000 0.5000 x1  8 Al 3.85, 4 Cl 3.87
In1 0.5000 0.5000 0.0000 x1  2 Cl 2.71, 4 Al 2.73
Cl1 0.5000 0.5000 0.5000 x1  2 In 2.71

---

Entry 3:
CuPb2N | PBE | optimized geometry

E_form (uncorrected) in eV/atom: 0.613
Uncorrected energy in eV for the cell shown: -69.54

Cell: 6.0571 6.0571 10.1568 Å, 90.00 90.00 90.00°
Closest atoms and distances in Å follow each position.
Space group I-42d (No. 122)
Inequivalent atoms, fractional coordinates:
Cu1 0.0000 0.0000 0.0000 x4  4 Pb 2.65
Pb1 0.2073 0.2500 0.6250 x8  2 N 2.34
N1 0.0000 0.0000 0.5000 x4  4 Pb 2.34

---

Entry 4:
MgCoRe | PBE | optimized geometry

Offset from the most stable computed form in meV/atom: 328.1
ΔE_f in kJ per mole of atoms: 37.8
Uncorrected energy in eV for the cell shown: -39.95

Cell: 4.3717 4.3717 5.0580 Å, 90.00 90.00 120.00°
Closest atoms and distances in Å follow each position.
Space group P6_3/mmc (No. 194)
Inequivalent atoms, fractional coordinates:
Mg1 0.3333 0.6667 0.2500 x2  5 Co 2.52-2.53, 6 Re 2.82
Co1 0.3333 0.6667 0.7500 x2  5 Mg 2.52-2.53, 6 Re 2.82
Re1 0.0000 0.0000 0.0000 x2  2 Re 2.53, 6 Co 2.82, 6 Mg 2.82